# PBE-GGA CuH4C4S2IN2, relaxed
# Uncorrected energy: -5.798 eV/atom
# SG: P2_1/c
data_CuH4C4S2IN2
_space_group_name_H-M_alt 'P 1'
_space_group_IT_number 1
_space_group_name_Hall 'P 1'
_cell_length_a 6.511
_cell_length_b 6.807
_cell_length_c 18.175
_cell_angle_alpha 90.00
_cell_angle_beta 93.20
_cell_angle_gamma 90.00
loop_
_atom_site_label
_atom_site_type_symbol
_atom_site_fract_x
_atom_site_fract_y
_atom_site_fract_z
Cu1 Cu 0.079 0.112 0.316
Cu2 Cu 0.079 0.388 0.816
Cu3 Cu 0.921 0.612 0.184
Cu4 Cu 0.921 0.888 0.684
H1 H 0.152 0.153 0.566
H2 H 0.152 0.347 0.066
H3 H 0.266 0.577 0.434
H4 H 0.266 0.923 0.934
H5 H 0.309 0.010 0.810
H6 H 0.309 0.490 0.310
H7 H 0.442 0.226 0.500
H8 H 0.442 0.274 0.000
H9 H 0.558 0.726 0.000
H10 H 0.558 0.774 0.500
H11 H 0.691 0.510 0.690
H12 H 0.691 0.990 0.190
H13 H 0.734 0.077 0.066
H14 H 0.734 0.423 0.566
H15 H 0.848 0.653 0.934
H16 H 0.848 0.847 0.434
C1 C 0.246 0.228 0.166
C2 C 0.246 0.272 0.666
C3 C 0.406 0.623 0.408
C4 C 0.406 0.877 0.908
C5 C 0.415 0.125 0.205
C6 C 0.415 0.375 0.705
C7 C 0.440 0.227 0.057
C8 C 0.440 0.273 0.557
C9 C 0.560 0.727 0.443
C10 C 0.560 0.773 0.943
C11 C 0.585 0.625 0.295
C12 C 0.585 0.875 0.795
C13 C 0.594 0.123 0.092
C14 C 0.594 0.377 0.592
C15 C 0.754 0.728 0.334
C16 C 0.754 0.772 0.834
S1 S 0.029 0.210 0.707
S2 S 0.029 0.290 0.207
S3 S 0.420 0.076 0.296
S4 S 0.420 0.424 0.796
S5 S 0.580 0.576 0.204
S6 S 0.580 0.924 0.704
S7 S 0.971 0.710 0.793
S8 S 0.971 0.790 0.293
I1 I 0.071 0.748 0.569
I2 I 0.071 0.752 0.069
I3 I 0.929 0.248 0.931
I4 I 0.929 0.252 0.431
N1 N 0.269 0.228 0.594
N2 N 0.269 0.272 0.094
N3 N 0.426 0.570 0.336
N4 N 0.426 0.930 0.836
N5 N 0.574 0.070 0.164
N6 N 0.574 0.430 0.664
N7 N 0.731 0.728 0.906
N8 N 0.731 0.772 0.406

***

# PBE-GGA CuH24C9S3IN6, relaxed
# Uncorrected energy: -5.434 eV/atom
# SG: P-1
data_CuH24C9S3IN6
_space_group_name_H-M_alt 'P 1'
_space_group_IT_number 1
_space_group_name_Hall 'P 1'
_cell_length_a 7.532
_cell_length_b 10.153
_cell_length_c 12.558
_cell_angle_alpha 69.54
_cell_angle_beta 82.01
_cell_angle_gamma 83.46
loop_
_atom_site_label
_atom_site_type_symbol
_atom_site_fract_x
_atom_site_fract_y
_atom_site_fract_z
Cu1 Cu 0.140 0.403 0.034
Cu2 Cu 0.860 0.597 0.966
H1 H 0.000 0.435 0.441
H2 H 0.000 0.565 0.559
H3 H 0.001 0.614 0.763
H4 H 0.003 0.123 0.918
H5 H 0.008 0.083 0.788
H6 H 0.051 0.999 0.384
H7 H 0.083 0.303 0.687
H8 H 0.151 0.673 0.581
H9 H 0.188 0.848 0.374
H10 H 0.194 0.843 0.155
H11 H 0.198 0.909 0.491
H12 H 0.218 0.493 0.600
H13 H 0.278 0.169 0.998
H14 H 0.302 0.707 0.795
H15 H 0.309 0.962 0.955
H16 H 0.314 0.894 0.740
H17 H 0.319 0.526 0.281
H18 H 0.321 0.068 0.807
H19 H 0.356 0.577 0.398
H20 H 0.416 0.789 0.657
H21 H 0.433 0.312 0.129
H22 H 0.447 0.003 0.369
H23 H 0.475 0.526 0.658
H24 H 0.480 0.985 0.123
H25 H 0.481 0.243 0.716
H26 H 0.519 0.757 0.284
H27 H 0.520 0.015 0.877
H28 H 0.525 0.474 0.342
H29 H 0.553 0.997 0.631
H30 H 0.567 0.688 0.871
H31 H 0.584 0.211 0.343
H32 H 0.644 0.423 0.602
H33 H 0.679 0.932 0.193
H34 H 0.681 0.474 0.719
H35 H 0.686 0.106 0.260
H36 H 0.691 0.038 0.045
H37 H 0.698 0.293 0.205
H38 H 0.722 0.831 0.002
H39 H 0.782 0.507 0.400
H40 H 0.802 0.091 0.509
H41 H 0.806 0.157 0.845
H42 H 0.812 0.152 0.626
H43 H 0.849 0.327 0.419
H44 H 0.917 0.697 0.313
H45 H 0.949 0.001 0.616
H46 H 0.992 0.917 0.212
H47 H 0.997 0.877 0.082
H48 H 0.999 0.386 0.237
C1 C 0.014 0.594 0.199
C2 C 0.046 0.843 0.167
C3 C 0.104 0.566 0.612
C4 C 0.182 0.942 0.400
C5 C 0.308 0.149 0.245
C6 C 0.377 0.048 0.888
C7 C 0.387 0.793 0.744
C8 C 0.419 0.559 0.320
C9 C 0.421 0.296 0.860
C10 C 0.579 0.704 0.140
C11 C 0.581 0.441 0.680
C12 C 0.613 0.207 0.256
C13 C 0.623 0.952 0.112
C14 C 0.692 0.851 0.755
C15 C 0.818 0.058 0.600
C16 C 0.896 0.434 0.388
C17 C 0.954 0.157 0.833
C18 C 0.986 0.406 0.801
S1 S 0.109 0.617 0.061
S2 S 0.112 0.191 0.179
S3 S 0.401 0.431 0.913
S4 S 0.599 0.569 0.087
S5 S 0.888 0.809 0.821
S6 S 0.891 0.383 0.939
I1 I 0.311 0.208 0.551
I2 I 0.689 0.792 0.449
N1 N 0.009 0.296 0.764
N2 N 0.035 0.533 0.731
N3 N 0.324 0.033 0.337
N4 N 0.351 0.172 0.922
N5 N 0.447 0.229 0.203
N6 N 0.489 0.691 0.243
N7 N 0.511 0.309 0.757
N8 N 0.553 0.771 0.797
N9 N 0.649 0.828 0.078
N10 N 0.676 0.967 0.663
N11 N 0.965 0.467 0.269
N12 N 0.991 0.704 0.236

***

# PBE-GGA Cu2H6C5SI2N2, relaxed
# Uncorrected energy: -5.477 eV/atom
# SG: P-1
data_Cu2H6C5SI2N2
_space_group_name_H-M_alt 'P 1'
_space_group_IT_number 1
_space_group_name_Hall 'P 1'
_cell_length_a 7.586
_cell_length_b 8.560
_cell_length_c 9.445
_cell_angle_alpha 67.20
_cell_angle_beta 67.91
_cell_angle_gamma 82.10
loop_
_atom_site_label
_atom_site_type_symbol
_atom_site_fract_x
_atom_site_fract_y
_atom_site_fract_z
Cu1 Cu 0.085 0.354 0.023
Cu2 Cu 0.341 0.573 0.969
Cu3 Cu 0.659 0.427 0.031
Cu4 Cu 0.915 0.646 0.977
H1 H 0.065 0.165 0.629
H2 H 0.075 0.999 0.356
H3 H 0.150 0.912 0.197
H4 H 0.342 0.300 0.645
H5 H 0.386 0.442 0.344
H6 H 0.436 0.941 0.278
H7 H 0.564 0.059 0.722
H8 H 0.614 0.558 0.656
H9 H 0.658 0.700 0.355
H10 H 0.850 0.088 0.803
H11 H 0.925 0.001 0.644
H12 H 0.935 0.835 0.371
C1 C 0.027 0.946 0.287
C2 C 0.276 0.839 0.674
C3 C 0.426 0.872 0.406
C4 C 0.452 0.260 0.553
C5 C 0.476 0.338 0.387
C6 C 0.524 0.662 0.613
C7 C 0.548 0.740 0.447
C8 C 0.574 0.128 0.594
C9 C 0.724 0.161 0.326
C10 C 0.973 0.054 0.713
S1 S 0.097 0.895 0.831
S2 S 0.903 0.105 0.169
I1 I 0.025 0.513 0.235
I2 I 0.444 0.256 0.968
I3 I 0.556 0.744 0.032
I4 I 0.975 0.487 0.765
N1 N 0.290 0.923 0.519
N2 N 0.387 0.709 0.729
N3 N 0.613 0.291 0.271
N4 N 0.710 0.077 0.481

***

# PBE-GGA Cu2MoH12C8N12, relaxed
# Uncorrected energy: -6.571 eV/atom
# SG: Fdd2
data_Cu2MoH12C8N12
_space_group_name_H-M_alt 'P 1'
_space_group_IT_number 1
_space_group_name_Hall 'P 1'
_cell_length_a 12.075
_cell_length_b 9.098
_cell_length_c 13.752
_cell_angle_alpha 59.75
_cell_angle_beta 40.60
_cell_angle_gamma 79.65
loop_
_atom_site_label
_atom_site_type_symbol
_atom_site_fract_x
_atom_site_fract_y
_atom_site_fract_z
Cu1 Cu 0.225 0.775 0.361
Cu2 Cu 0.611 0.889 0.475
Cu3 Cu 0.775 0.225 0.639
Cu4 Cu 0.889 0.611 0.025
Mo1 Mo 0.272 0.272 0.728
Mo2 Mo 0.522 0.522 0.978
H1 H 0.012 0.747 0.066
H2 H 0.029 0.542 0.110
H3 H 0.050 0.906 0.729
H4 H 0.055 0.353 0.523
H5 H 0.076 0.184 0.503
H6 H 0.088 0.742 0.696
H7 H 0.140 0.931 0.221
H8 H 0.181 0.727 0.897
H9 H 0.184 0.076 0.238
H10 H 0.213 0.837 0.680
H11 H 0.353 0.055 0.069
H12 H 0.521 0.935 0.200
H13 H 0.542 0.029 0.319
H14 H 0.554 0.777 0.162
H15 H 0.570 0.979 0.037
H16 H 0.727 0.181 0.195
H17 H 0.742 0.088 0.473
H18 H 0.747 0.012 0.174
H19 H 0.777 0.554 0.508
H20 H 0.837 0.213 0.271
H21 H 0.906 0.050 0.315
H22 H 0.931 0.140 0.708
H23 H 0.935 0.521 0.344
H24 H 0.979 0.570 0.413
C1 C 0.039 0.129 0.841
C2 C 0.076 0.338 0.917
C3 C 0.129 0.039 0.991
C4 C 0.233 0.467 0.596
C5 C 0.259 0.409 0.121
C6 C 0.333 0.581 0.174
C7 C 0.338 0.076 0.669
C8 C 0.403 0.525 0.627
C9 C 0.409 0.259 0.211
C10 C 0.467 0.233 0.705
C11 C 0.525 0.403 0.445
C12 C 0.545 0.654 0.783
C13 C 0.581 0.333 0.912
C14 C 0.623 0.805 0.847
C15 C 0.654 0.545 0.017
C16 C 0.805 0.623 0.725
N1 N 0.045 0.664 0.025
N2 N 0.048 0.916 0.137
N3 N 0.084 0.792 0.751
N4 N 0.113 0.352 0.202
N5 N 0.218 0.589 0.521
N6 N 0.225 0.983 0.205
N7 N 0.230 0.615 0.283
N8 N 0.352 0.113 0.334
N9 N 0.378 0.967 0.635
N10 N 0.483 0.672 0.553
N11 N 0.499 0.877 0.166
N12 N 0.579 0.729 0.661
N13 N 0.589 0.218 0.671
N14 N 0.615 0.230 0.872
N15 N 0.664 0.045 0.267
N16 N 0.672 0.483 0.291
N17 N 0.697 0.959 0.767
N18 N 0.729 0.579 0.032
N19 N 0.792 0.084 0.373
N20 N 0.877 0.499 0.458
N21 N 0.916 0.048 0.898
N22 N 0.959 0.697 0.578
N23 N 0.967 0.378 0.020
N24 N 0.983 0.225 0.586

***

# PBE-GGA Cu2H8C5N4, relaxed
# Uncorrected energy: -5.980 eV/atom
# SG: Pna2_1
data_Cu2H8C5N4
_space_group_name_H-M_alt 'P 1'
_space_group_IT_number 1
_space_group_name_Hall 'P 1'
_cell_length_a 13.333
_cell_length_b 7.266
_cell_length_c 8.076
_cell_angle_alpha 90.00
_cell_angle_beta 90.00
_cell_angle_gamma 90.00
loop_
_atom_site_label
_atom_site_type_symbol
_atom_site_fract_x
_atom_site_fract_y
_atom_site_fract_z
Cu1 Cu 0.063 0.154 0.000
Cu2 Cu 0.070 0.651 0.613
Cu3 Cu 0.430 0.151 0.113
Cu4 Cu 0.437 0.654 0.500
Cu5 Cu 0.563 0.346 0.000
Cu6 Cu 0.570 0.849 0.613
Cu7 Cu 0.930 0.349 0.113
Cu8 Cu 0.937 0.846 0.500
H1 H 0.085 0.747 0.138
H2 H 0.142 0.267 0.570
H3 H 0.151 0.230 0.350
H4 H 0.167 0.554 0.161
H5 H 0.171 0.678 0.885
H6 H 0.174 0.044 0.491
H7 H 0.203 0.884 0.956
H8 H 0.205 0.775 0.238
H9 H 0.295 0.275 0.738
H10 H 0.297 0.384 0.456
H11 H 0.326 0.544 0.991
H12 H 0.329 0.178 0.385
H13 H 0.333 0.054 0.661
H14 H 0.349 0.730 0.850
H15 H 0.358 0.767 0.070
H16 H 0.415 0.247 0.638
H17 H 0.585 0.753 0.138
H18 H 0.642 0.233 0.570
H19 H 0.651 0.270 0.350
H20 H 0.667 0.946 0.161
H21 H 0.671 0.822 0.885
H22 H 0.674 0.456 0.491
H23 H 0.703 0.616 0.956
H24 H 0.705 0.725 0.238
H25 H 0.795 0.225 0.738
H26 H 0.797 0.116 0.456
H27 H 0.826 0.956 0.991
H28 H 0.829 0.322 0.385
H29 H 0.833 0.446 0.661
H30 H 0.849 0.770 0.850
H31 H 0.858 0.733 0.070
H32 H 0.915 0.253 0.638
C1 C 0.015 0.417 0.924
C2 C 0.016 0.909 0.696
C3 C 0.163 0.702 0.141
C4 C 0.181 0.193 0.471
C5 C 0.208 0.669 0.569
C6 C 0.292 0.169 0.069
C7 C 0.319 0.693 0.971
C8 C 0.337 0.202 0.641
C9 C 0.484 0.409 0.196
C10 C 0.485 0.917 0.424
C11 C 0.515 0.083 0.924
C12 C 0.516 0.591 0.696
C13 C 0.663 0.798 0.141
C14 C 0.681 0.307 0.471
C15 C 0.708 0.831 0.569
C16 C 0.792 0.331 0.069
C17 C 0.819 0.807 0.971
C18 C 0.837 0.298 0.641
C19 C 0.984 0.091 0.196
C20 C 0.985 0.583 0.424
N1 N 0.038 0.002 0.811
N2 N 0.040 0.507 0.809
N3 N 0.205 0.169 0.042
N4 N 0.211 0.744 0.978
N5 N 0.289 0.244 0.478
N6 N 0.295 0.669 0.542
N7 N 0.460 0.007 0.309
N8 N 0.462 0.502 0.311
N9 N 0.538 0.498 0.811
N10 N 0.540 0.993 0.809
N11 N 0.705 0.331 0.042
N12 N 0.711 0.756 0.978
N13 N 0.789 0.256 0.478
N14 N 0.795 0.831 0.542
N15 N 0.960 0.493 0.309
N16 N 0.962 0.998 0.311